Entry 1:
An optimized crystal structure of PuNiPtO6, computed with PBE+U.

CIF file:
```
data_PuNiPtO6
_chemical_formula_sum 'Pu2 Ni2 Pt2 O12'
_space_group_name_H-M_alt 'P 1'
_space_group_IT_number 1
_cell_length_a 5.215
_cell_length_b 5.215
_cell_length_c 9.169
_cell_angle_alpha 90.00
_cell_angle_beta 90.00
_cell_angle_gamma 120.00
loop_
_space_group_symop_operation_xyz
'x,y,z'
loop_
_atom_site_label
_atom_site_type_symbol
_atom_site_fract_x
_atom_site_fract_y
_atom_site_fract_z
Pu1 Pu 0.333 0.667 0.250
Pu2 Pu 0.667 0.333 0.750
Ni1 Ni 0.000 0.000 0.000
Ni2 Ni 0.000 0.000 0.500
Pt1 Pt 0.333 0.667 0.750
Pt2 Pt 0.667 0.333 0.250
O1 O 0.007 0.340 0.627
O2 O 0.007 0.667 0.873
O3 O 0.333 0.340 0.873
O4 O 0.333 0.993 0.627
O5 O 0.340 0.007 0.127
O6 O 0.340 0.333 0.373
O7 O 0.660 0.667 0.627
O8 O 0.660 0.993 0.873
O9 O 0.667 0.007 0.373
O10 O 0.667 0.660 0.127
O11 O 0.993 0.333 0.127
O12 O 0.993 0.660 0.373
```

crystal system	trigonal
calculated total energy	-7.3139	eV per atom
total magnetic moment	8.00	μB per cell
ρ	9.1	g/cm3

---

Entry 2:
An optimized crystal structure of NiPtRhO4, computed with PBE+U.

CIF file:
```
data_NiPtRhO4
_chemical_formula_sum 'Ni2 Pt2 Rh2 O8'
_space_group_name_H-M_alt 'P 1'
_space_group_IT_number 1
_cell_length_a 5.668
_cell_length_b 5.668
_cell_length_c 5.910
_cell_angle_alpha 90.00
_cell_angle_beta 90.00
_cell_angle_gamma 121.27
loop_
_space_group_symop_operation_xyz
'x,y,z'
loop_
_atom_site_label
_atom_site_type_symbol
_atom_site_fract_x
_atom_site_fract_y
_atom_site_fract_z
Ni1 Ni 0.172 0.828 0.750
Ni2 Ni 0.828 0.172 0.250
Pt1 Pt 0.154 0.846 0.250
Pt2 Pt 0.846 0.154 0.750
Rh1 Rh 0.500 0.500 0.000
Rh2 Rh 0.500 0.500 0.500
O1 O 0.230 0.247 0.250
O2 O 0.247 0.230 0.750
O3 O 0.298 0.702 0.002
O4 O 0.298 0.702 0.498
O5 O 0.702 0.298 0.502
O6 O 0.702 0.298 0.998
O7 O 0.753 0.770 0.250
O8 O 0.770 0.753 0.750
```

crystal system	orthorhombic
calculated total energy	-5.4490	eV per atom
total magnetic moment	2.24	μB per cell
ρ	8.6	g/cm3

---

Entry 3:
An optimized crystal structure of NiPt2RhO, computed with PBE+U.

CIF file:
```
data_NiPt2RhO
_chemical_formula_sum 'Ni1 Pt2 Rh1 O1'
_space_group_name_H-M_alt 'P 1'
_space_group_IT_number 1
_cell_length_a 4.545
_cell_length_b 4.545
_cell_length_c 4.509
_cell_angle_alpha 90.00
_cell_angle_beta 90.00
_cell_angle_gamma 90.00
loop_
_space_group_symop_operation_xyz
'x,y,z'
loop_
_atom_site_label
_atom_site_type_symbol
_atom_site_fract_x
_atom_site_fract_y
_atom_site_fract_z
Ni1 Ni 0.000 0.000 0.000
Pt1 Pt 0.000 0.500 0.000
Pt2 Pt 0.500 0.000 0.000
Rh1 Rh 0.000 0.000 0.500
O1 O 0.500 0.500 0.500
```

crystal system	tetragonal
total magnetic moment	5.22	μB per cell
ρ	10.1	g/cm3
distance to the lowest polymorph of the same formula	1431.6	meV/atom

---

Entry 4:
An optimized crystal structure of Ni2PtRhO6, computed with PBE+U.

CIF file:
```
data_Ni2PtRhO6
_chemical_formula_sum 'Ni2 Pt1 Rh1 O6'
_space_group_name_H-M_alt 'P 1'
_space_group_IT_number 1
_cell_length_a 5.728
_cell_length_b 5.728
_cell_length_c 3.950
_cell_angle_alpha 90.00
_cell_angle_beta 90.00
_cell_angle_gamma 90.00
loop_
_space_group_symop_operation_xyz
'x,y,z'
loop_
_atom_site_label
_atom_site_type_symbol
_atom_site_fract_x
_atom_site_fract_y
_atom_site_fract_z
Ni1 Ni 0.000 0.500 0.000
Ni2 Ni 0.500 0.000 0.000
Pt1 Pt 0.000 0.000 0.804
Rh1 Rh 0.500 0.500 0.791
O1 O 0.000 0.000 0.314
O2 O 0.251 0.251 0.896
O3 O 0.251 0.749 0.896
O4 O 0.500 0.500 0.315
O5 O 0.749 0.251 0.896
O6 O 0.749 0.749 0.896
```

crystal system	tetragonal
calculated total energy	-5.0969	eV per atom
total magnetic moment	5.19	μB per cell
ρ	6.6	g/cm3

---

Entry 5:
An optimized crystal structure of NiPt2RhO, computed with PBE+U.

CIF file:
```
data_NiPt2RhO
_chemical_formula_sum 'Ni1 Pt2 Rh1 O1'
_space_group_name_H-M_alt 'P 1'
_space_group_IT_number 1
_cell_length_a 4.247
_cell_length_b 4.247
_cell_length_c 3.842
_cell_angle_alpha 90.00
_cell_angle_beta 90.00
_cell_angle_gamma 90.00
loop_
_space_group_symop_operation_xyz
'x,y,z'
loop_
_atom_site_label
_atom_site_type_symbol
_atom_site_fract_x
_atom_site_fract_y
_atom_site_fract_z
Ni1 Ni 0.000 0.000 0.000
Pt1 Pt 0.000 0.500 0.500
Pt2 Pt 0.500 0.000 0.500
Rh1 Rh 0.500 0.500 0.000
O1 O 0.000 0.000 0.500
```

crystal system	tetragonal
total magnetic moment	1.41	μB per cell
ρ	13.6	g/cm3
distance to the lowest polymorph of the same formula	0.0	meV/atom

---

Entry 6:
An optimized crystal structure of NiSb2PtO, computed with PBE+U.

CIF file:
```
data_NiSb2PtO
_chemical_formula_sum 'Ni1 Sb2 Pt1 O1'
_space_group_name_H-M_alt 'P 1'
_space_group_IT_number 1
_cell_length_a 5.086
_cell_length_b 5.086
_cell_length_c 3.435
_cell_angle_alpha 90.00
_cell_angle_beta 90.00
_cell_angle_gamma 90.00
loop_
_space_group_symop_operation_xyz
'x,y,z'
loop_
_atom_site_label
_atom_site_type_symbol
_atom_site_fract_x
_atom_site_fract_y
_atom_site_fract_z
Ni1 Ni 0.000 0.000 0.000
Sb1 Sb 0.000 0.500 0.000
Sb2 Sb 0.500 0.000 0.000
Pt1 Pt 0.500 0.500 0.500
O1 O 0.000 0.000 0.500
```

crystal system	tetragonal
calculated total energy	-4.2903	eV per atom
total magnetic moment	0.00	μB per cell
ρ	9.6	g/cm3